Crystalline Sr3Sm2PuTe6 at its relaxed geometry, computed with PBE.

a b c (Å): 4.5458 9.2422 10.2975
angles (deg): 104.11 102.75 90.00
Element x y z (fractional)
Sr 0.5000 0.5000 0.0000
Sr 0.8338 0.1667 0.6675
Sr 0.1662 0.8333 0.3325
Sm 0.8336 0.6670 0.6673
Sm 0.1664 0.3330 0.3327
Pu 0.5000 0.0000 0.0000
Te 0.3355 0.9085 0.6711
Te 0.6699 0.5762 0.3399
Te 0.6645 0.0915 0.3289
Te 0.0033 0.2430 0.0067
Te 0.9967 0.7570 0.9933
Te 0.3301 0.4238 0.6601

The uncorrected energy comes out at -65.4 eV/cell. The space group is C2/m, No. 12. The calculation puts the theoretical density at 6.39 Mg/m³.